Entry 1:
A plane-wave DFT calculation with PBEsol was carried out for an optimized crystal structure of Ba3In.

Lattice parameters (Å, degrees): 4.2521 4.2521 10.5324 90.00 90.00 90.00
Atoms (fractional coordinates):
In1 0.5000 0.5000 0.0000
Ba1 0.0000 0.0000 0.1829
Ba2 0.0000 0.0000 0.8171
Ba3 0.5000 0.5000 0.5000

Summary:
E_form: -0.217 eV/atom
SG: P4/mmm (123)
total DFT energy (no corrections): -2.5740 eV per atom

=====

Entry 2:
A plane-wave DFT calculation with PBEsol was carried out for an optimized crystal structure of LiMoW.

Lattice parameters (Å, degrees): 3.2630 3.2630 4.6384 110.59 110.59 90.00
Atoms (fractional coordinates):
W1 0.3305 0.3305 0.6610
Li1 0.0006 0.0006 0.0012
Mo1 0.6690 0.6690 0.3379

Summary:
energy above the most stable polymorph in this dataset: 0.167 eV/atom
E_form: 0.539 eV/atom
SG: I4mm (107)
total DFT energy (no corrections): -8.6421 eV per atom

=====

Entry 3:
A plane-wave DFT calculation with PBEsol was carried out for an optimized crystal structure of Li3IN.

Lattice parameters (Å, degrees): 4.9750 4.9750 4.9750 90.00 90.00 90.00
Each line ends with the local moment (μB).
Atoms (fractional coordinates):
Li1 0.0000 0.0000 0.5000  -0.01
Li2 0.5000 0.0000 0.0000  -0.01
Li3 0.0000 0.5000 0.0000  -0.01
I1 0.0000 0.0000 0.0000  -0.01
N1 0.5000 0.5000 0.5000  0.94

Summary:
SG: Pm-3m (221)
formation energy from raw total energies: 591 meV per atom
total DFT energy (no corrections): -2.6479 eV per atom

=====

Entry 4:
A plane-wave DFT calculation with PBEsol was carried out for an optimized crystal structure of SmInCo2.

Lattice parameters (Å, degrees): 3.9593 5.0060 7.1042 90.00 90.00 90.00
Each line ends with the local moment (μB).
Atoms (fractional coordinates):
Co1 0.0000 0.5000 0.0000  1.24
Co2 0.5000 0.2500 0.0864  0.95
Co3 0.0000 0.0000 0.0000  1.24
Co4 0.5000 0.7500 0.9136  0.95
Sm1 0.5000 0.2500 0.7171  -0.10
Sm2 0.5000 0.7500 0.2829  -0.10
In1 0.0000 0.2500 0.3425  -0.02
In2 0.0000 0.7500 0.6575  -0.02

Summary:
E_form: -0.245 eV/atom
SG: Pmma (51)
total DFT energy (no corrections): -6.1325 eV per atom

=====

Entry 5:
A plane-wave DFT calculation with PBEsol was carried out for an optimized crystal structure of CaMg2Cl.

Lattice parameters (Å, degrees): 4.0621 4.0621 6.5916 90.00 90.00 90.00
Atoms (fractional coordinates):
Cl1 0.0000 0.0000 0.5000
Mg1 0.5000 0.0000 0.0000
Mg2 0.0000 0.5000 0.0000
Ca1 0.5000 0.5000 0.5000

Summary:
energy above the most stable polymorph in this dataset: 0.000 eV/atom
SG: P4/mmm (123)
formation energy from raw total energies: -527 meV per atom
total DFT energy (no corrections): -2.4204 eV per atom

=====

Entry 6:
A plane-wave DFT calculation with PBEsol was carried out for an optimized crystal structure of Hg2TeS.

Lattice parameters (Å, degrees): 6.1910 6.1910 7.5565 114.18 114.18 90.00
Atoms (fractional coordinates):
Hg1 0.6250 0.5916 0.7500
Hg2 0.8416 0.3750 0.2500
Hg3 0.1250 0.1584 0.7500
Hg4 0.4084 0.8750 0.2500
Te1 0.2500 0.7500 0.5000
Te2 0.0000 0.0000 0.0000
S1 0.5000 0.5000 0.0000
S2 0.7500 0.2500 0.5000

Summary:
energy above the most stable polymorph in this dataset: 0.000 eV/atom
SG: I-42d (122)
formation energy from raw total energies: -138 meV per atom
total DFT energy (no corrections): -2.3988 eV per atom

=====

Entry 7:
A plane-wave DFT calculation with PBEsol was carried out for an optimized crystal structure of YSiIr2.

Lattice parameters (Å, degrees): 3.5568 4.1042 5.1999 113.24 110.00 90.00
Atoms (fractional coordinates):
Ir1 0.7704 0.2704 0.5408
Ir2 0.0079 0.0079 0.0157
Y1 0.2448 0.7448 0.4896
Si1 0.4769 0.4769 0.9539

Summary:
SG: Imm2 (44)
formation energy from raw total energies: -462 meV per atom
total DFT energy (no corrections): -8.5158 eV per atom

=====

Entry 8:
A plane-wave DFT calculation with PBEsol was carried out for an optimized crystal structure of Li2Ni3BiO8.

Lattice parameters (Å, degrees): 5.8195 5.8195 6.1000 61.51 61.51 60.00
Each line ends with the local moment (μB).
Atoms (fractional coordinates):
O1 0.7249 0.2773 0.2204  0.11
O2 0.7227 0.2227 0.7796  0.11
O3 0.2773 0.7773 0.2204  0.11
O4 0.2227 0.2751 0.7796  0.11
O5 0.7256 0.7256 0.8232  0.04
O6 0.2751 0.7227 0.7796  0.11
O7 0.2744 0.2744 0.1768  0.04
O8 0.7773 0.7249 0.2204  0.11
Ni1 0.5000 0.5000 0.0000  0.71
Ni2 0.0000 0.5000 0.0000  0.71
Ni3 0.5000 0.0000 0.0000  0.71
Li1 0.1201 0.1201 0.6396  0.00
Li2 0.8799 0.8799 0.3604  0.00
Bi1 0.5000 0.5000 0.5000  -0.01

Summary:
energy above the most stable polymorph in this dataset: 0.013 eV/atom
SG: R-3 (148)
formation energy from raw total energies: -1095 meV per atom
total DFT energy (no corrections): -6.0014 eV per atom

=====

Entry 9:
A plane-wave DFT calculation with PBEsol was carried out for an optimized crystal structure of Mg2AsI.

Lattice parameters (Å, degrees): 5.0685 5.0685 5.0685 60.00 60.00 60.00
Atoms (fractional coordinates):
I1 0.5000 0.5000 0.5000
As1 0.0000 0.0000 0.0000
Mg1 0.2500 0.2500 0.2500
Mg2 0.7500 0.7500 0.7500

Summary:
SG: Fm-3m (225)
formation energy from raw total energies: -175 meV per atom
total DFT energy (no corrections): -2.7516 eV per atom

=====

Entry 10:
A plane-wave DFT calculation with PBEsol was carried out for an optimized crystal structure of RbYZr2.

Lattice parameters (Å, degrees): 5.4154 5.4154 5.4154 60.00 60.00 60.00
Each line ends with the local moment (μB).
Atoms (fractional coordinates):
Rb1 0.0000 0.0000 0.0000  0.02
Y1 0.5000 0.5000 0.5000  0.31
Zr1 0.7500 0.7500 0.7500  0.32
Zr2 0.2500 0.2500 0.2500  0.32

Summary:
E_form: 1.150 eV/atom
SG: Fm-3m (225)
total DFT energy (no corrections): -5.3567 eV per atom

=====

Entry 11:
A plane-wave DFT calculation with PBEsol was carried out for an optimized crystal structure of HoBeCu4.

Lattice parameters (Å, degrees): 3.7947 4.9758 4.9758 120.00 90.00 90.00
Atoms (fractional coordinates):
Cu1 0.5000 0.3250 0.1625
Cu2 0.0000 0.6667 0.3333
Cu3 0.5000 0.8375 0.6750
Cu4 0.5000 0.8375 0.1625
Be1 0.0000 0.0000 0.0000
Ho1 0.0000 0.3333 0.6667

Summary:
E_form: -0.165 eV/atom
SG: P-6m2 (187)
total DFT energy (no corrections): -4.5456 eV per atom

=====

Entry 12:
A plane-wave DFT calculation with PBEsol was carried out for an optimized crystal structure of Ba2NaMgSe.

Lattice parameters (Å, degrees): 5.0916 6.3448 6.3448 90.00 90.00 90.00
Atoms (fractional coordinates):
Se1 0.5000 0.5000 0.5000
Na1 0.0000 0.0000 0.0000
Mg1 0.5000 0.0000 0.0000
Ba1 0.0000 0.0000 0.5000
Ba2 0.0000 0.5000 0.0000

Summary:
SG: P4/mmm (123)
formation energy from raw total energies: 68 meV per atom
total DFT energy (no corrections): -2.1849 eV per atom

=====

Entry 13:
A plane-wave DFT calculation with PBEsol was carried out for an optimized crystal structure of CsBeAs2Br.

Lattice parameters (Å, degrees): 6.4867 7.5628 7.5628 90.00 90.00 90.00
Each line ends with the local moment (μB).
Atoms (fractional coordinates):
Br1 0.5000 0.0000 0.0000  0.06
As1 0.0000 0.0000 0.5000  1.23
As2 0.0000 0.5000 0.0000  1.23
Be1 0.5000 0.5000 0.5000  0.03
Cs1 0.0000 0.0000 0.0000  0.04

Summary:
SG: P4/mmm (123)
formation energy from raw total energies: 1585 meV per atom
total DFT energy (no corrections): -1.8204 eV per atom

=====

Entry 14:
A plane-wave DFT calculation with PBEsol was carried out for an optimized crystal structure of Zn2PbAu2.

Lattice parameters (Å, degrees): 3.8931 3.8931 6.8808 106.43 106.43 90.00
Atoms (fractional coordinates):
Au1 0.3880 0.3880 0.7760
Au2 0.6120 0.6120 0.2240
Zn1 0.7500 0.2500 0.5000
Zn2 0.2500 0.7500 0.5000
Pb1 0.0000 0.0000 0.0000

Summary:
energy above the most stable polymorph in this dataset: 0.000 eV/atom
E_form: -0.127 eV/atom
SG: I4/mmm (139)
total DFT energy (no corrections): -3.1291 eV per atom

=====

Entry 15:
A plane-wave DFT calculation with PBEsol was carried out for an optimized crystal structure of NaHf3Hg.

Lattice parameters (Å, degrees): 4.8536 4.8536 4.8536 90.00 90.00 90.00
Atoms (fractional coordinates):
Na1 0.0000 0.0000 0.0000
Hf1 0.0000 0.0000 0.5000
Hf2 0.0000 0.5000 0.0000
Hf3 0.5000 0.0000 0.0000
Hg1 0.5000 0.5000 0.5000

Summary:
E_form: 1.545 eV/atom
SG: Pm-3m (221)
total DFT energy (no corrections): -5.1506 eV per atom

=====

Entry 16:
A plane-wave DFT calculation with PBEsol was carried out for an optimized crystal structure of KZnPb2.

Lattice parameters (Å, degrees): 3.5924 3.5924 10.7205 80.35 80.35 60.00
Atoms (fractional coordinates):
Pb1 0.7554 0.7554 0.7338
Pb2 0.0070 0.0070 0.9789
Zn1 0.4938 0.4938 0.5187
K1 0.2438 0.2438 0.2685

Summary:
energy above the most stable polymorph in this dataset: 0.036 eV/atom
E_form: 0.177 eV/atom
SG: R3m (160)
total DFT energy (no corrections): -2.5008 eV per atom

=====

Entry 17:
A plane-wave DFT calculation with PBEsol was carried out for an optimized crystal structure of ScZn2Os.

Lattice parameters (Å, degrees): 2.7454 4.0165 5.4206 90.00 90.00 90.00
Each line ends with the local moment (μB).
Atoms (fractional coordinates):
Zn1 0.0000 0.0000 0.7724  0.00
Zn2 0.0000 0.0000 0.2276  0.00
Sc1 0.5000 0.5000 0.5000  0.06
Os1 0.5000 0.5000 0.0000  0.01

Summary:
energy above the most stable polymorph in this dataset: 0.183 eV/atom
E_form: -0.100 eV/atom
SG: Pmmm (47)
total DFT energy (no corrections): -5.5964 eV per atom

=====

Entry 18:
A plane-wave DFT calculation with PBEsol was carried out for an optimized crystal structure of CdGeP2.

Lattice parameters (Å, degrees): 5.7119 5.7119 6.7513 115.03 115.03 90.00
Atoms (fractional coordinates):
Ge1 0.5000 0.5000 0.0000
Ge2 0.7500 0.2500 0.5000
P1 0.1250 0.1555 0.7500
P2 0.6250 0.5945 0.7500
P3 0.4055 0.8750 0.2500
P4 0.8445 0.3750 0.2500
Cd1 0.2500 0.7500 0.5000
Cd2 0.0000 0.0000 0.0000

Summary:
E_form: -0.078 eV/atom
SG: I-42d (122)
total DFT energy (no corrections): -4.5077 eV per atom

=====

Entry 19:
A plane-wave DFT calculation with PBEsol was carried out for an optimized crystal structure of RuAuSe2.

Lattice parameters (Å, degrees): 3.2516 3.6257 6.8367 90.00 103.76 90.00
Atoms (fractional coordinates):
Ru1 0.9576 0.5000 0.9152
Se1 0.1412 0.5000 0.2824
Se2 0.8435 0.0000 0.6870
Au1 0.5598 0.0000 0.1195

Summary:
SG: Amm2 (38)
formation energy from raw total energies: 168 meV per atom
total DFT energy (no corrections): -5.2814 eV per atom

=====

Entry 20:
A plane-wave DFT calculation with PBEsol was carried out for an optimized crystal structure of TbNiGe.

Lattice parameters (Å, degrees): 4.1906 6.8629 7.1670 90.00 90.00 90.00
Atoms (fractional coordinates):
Ni1 0.7500 0.8088 0.0825
Ni2 0.2500 0.1912 0.9175
Ni3 0.2500 0.6912 0.5825
Ni4 0.7500 0.3088 0.4175
Tb1 0.2500 0.9905 0.2962
Tb2 0.2500 0.4905 0.2038
Tb3 0.7500 0.5095 0.7962
Tb4 0.7500 0.0095 0.7038
Ge1 0.7500 0.1933 0.0886
Ge2 0.2500 0.8067 0.9114
Ge3 0.2500 0.3067 0.5886
Ge4 0.7500 0.6933 0.4114

Summary:
E_form: -0.839 eV/atom
SG: Pnma (62)
total DFT energy (no corrections): -6.2080 eV per atom